(1)
## Ba2TaSi (PBE-GGA)

Data for a geometry-optimized Ba2TaSi structure.

Unit cell a=5.5089 b=5.5089 c=7.2882 alpha=84.63 beta=84.63 gamma=34.78
Each line ends with the local moment (μB).
Sites, in units of the cell vectors:
Ta 0.2500 0.2500 0.2500  1.16
Ba 0.0100 0.0100 0.9907  0.06
Ba 0.4900 0.4900 0.5093  0.06
Si 0.7500 0.7500 0.7500  -0.04

Computed properties:
Energy relative to the elements, uncorrected ... 1.044 eV/atom

***

(2)
## BaTa2Si (PBE-GGA)

Data for a geometry-optimized BaTa2Si structure.

Unit cell a=5.1721 b=5.1721 c=5.1721 alpha=126.92 beta=126.92 gamma=78.39
Sites, in units of the cell vectors:
Si 0.7500 0.2500 0.5000
Ba 0.5000 0.5000 0.0000
Ta 0.0000 0.0000 0.0000
Ta 0.2500 0.7500 0.5000

Computed properties:
Energy relative to the elements, uncorrected ... 0.932 eV/atom